(1)
DFT (PBE) results for a geometry-optimized BaPaF6 structure.

Lattice parameters (Å, degrees): 6.8119 7.5275 4.8873 90.00 99.25 90.00
Last column: nearest neighbours and their distance in Å.
Space group C2/m (No. 12)
Asymmetric unit:
Ba (0.0000, 0.0000, 0.0000)  12 F 2.67-2.96
Pa (0.0000, 0.5000, 0.5000)  6 F 2.16-2.18
F (0.1215, 0.3097, 0.8137)  1 Pa 2.16
F (0.1898, 0.0000, 0.5634)  1 Pa 2.18

## Properties
Total magnetic moment: 1.000 μB per formula unit
E: -6.581 eV/atom

---

(2)
DFT (PBE) results for a geometry-optimized UAgPt structure.

Lattice parameters (Å, degrees): 6.5765 6.5765 6.5765 90.00 90.00 90.00
Last column: nearest neighbours and their distance in Å.
Space group F-43m (No. 216)
Asymmetric unit:
U (0.0000, 0.0000, 0.0000)  4 Pt 2.85
Ag (0.0000, 0.0000, 0.5000)  4 Pt 2.85
Pt (0.2500, 0.2500, 0.7500)  4 U 2.85, 4 Ag 2.85

## Properties
Total magnetic moment: 2.685 μB per formula unit
Excess energy over the best structure of this formula in the dataset: 0.0 meV/atom
Energy relative to the elements: -0.055 eV per atom
E: -6.780 eV/atom